# 1
4
Lattice="5.041 0.000 0.000 2.521 4.366 0.000 2.521 1.455 4.116" Properties=species:S:1:pos:R:3 comment="PBE PrDyGaRu, optimized geometry" formation_energy_ev_per_fu=-1.376 de_polymorph_ev_per_atom=0.076 magnetic_moment_mub_per_fu=0.00 spacegroup="F-43m, No. 216" pbc="T T T"
Pr 0.000 0.000 0.000
Ru 7.562 4.366 3.087
Ga 2.521 1.455 1.029
Dy 5.041 2.910 2.058

=====

# 2
4
Lattice="-2.468 3.661 0.138 -2.640 -1.864 2.243 3.903 -0.201 4.427" Properties=species:S:1:pos:R:3 comment="PBE PrDyGaRu, optimized geometry" formation_energy_ev_per_fu=-1.679 de_polymorph_ev_per_atom=0.000 magnetic_moment_mub_per_fu=0.00 spacegroup="Amm2, No. 38" pbc="T T T"
Pr -0.714 2.021 4.290
Dy 0.696 0.425 1.172
Ga 2.332 1.424 3.929
Ru -2.085 1.185 1.981

=====

# 3
6
Lattice="-3.150 0.106 2.988 3.545 -2.420 0.667 3.404 5.918 3.379" Properties=species:S:1:pos:R:3 comment="PBE PrDyGa2Ru2, optimized geometry" formation_energy_ev_per_fu=-2.699 magnetic_moment_mub_per_fu=0.00 spacegroup="P-3m1, No. 164" pbc="T T T"
Pr 0.000 0.000 0.000
Dy 1.702 2.959 1.689
Ga 1.566 3.585 4.681
Ga 2.232 0.020 2.353
Ru -0.010 0.844 3.116
Ru 3.808 2.760 3.917

=====

# 4
7
Lattice="-2.948 -0.710 -3.277 0.133 -3.801 -2.338 -6.997 -5.618 4.471" Properties=species:S:1:pos:R:3 comment="PBE Pr2DyZn2Ga2, optimized geometry" formation_energy_ev_per_fu=-2.853 magnetic_moment_mub_per_fu=0.00 spacegroup="R-3m, No. 166" pbc="T T T"
Pr -4.744 -4.088 2.113
Pr -5.068 -6.041 -3.257
Dy 0.000 0.000 0.000
Zn -2.903 -3.705 -2.669
Zn -6.909 -6.425 1.525
Ga -7.751 -7.863 -0.447
Ga -2.061 -2.266 -0.697

=====

# 5
24
Lattice="4.390 0.000 0.000 0.000 11.057 0.000 0.000 0.000 11.774" Properties=species:S:1:pos:R:3 comment="PBE Dy3Ga2Pt, optimized geometry" formation_energy_ev_per_fu=-4.761 magnetic_moment_mub_per_fu=0.00 spacegroup="Pnma, No. 62" pbc="T T T"
Dy 1.097 4.118 0.579
Dy 3.292 6.939 11.195
Dy 3.292 9.647 5.308
Dy 1.097 1.410 6.466
Dy 1.097 7.655 2.639
Dy 3.292 3.402 9.135
Dy 3.292 2.127 3.248
Dy 1.097 8.930 8.525
Dy 1.097 4.840 4.475
Dy 3.292 6.217 7.298
Dy 3.292 10.369 1.412
Dy 1.097 0.688 10.362
Ga 1.097 7.685 5.745
Ga 3.292 3.372 6.028
Ga 3.292 2.156 0.141
Ga 1.097 8.900 11.632
Ga 1.097 10.912 3.675
Ga 3.292 0.145 8.099
Ga 3.292 5.384 2.212
Ga 1.097 5.673 9.562
Pt 1.097 1.320 1.463
Pt 3.292 9.737 10.310
Pt 3.292 6.848 4.424
Pt 1.097 4.208 7.350

=====

# 6
8
Lattice="-1.285 3.511 -0.588 -3.858 -1.092 1.913 3.884 3.022 9.558" Properties=species:S:1:pos:R:3 comment="PBE Dy4GaPt3, optimized geometry" formation_energy_ev_per_fu=-8.960 magnetic_moment_mub_per_fu=0.00 spacegroup="Pmm2, No. 25" pbc="T T T"
Pt 0.355 1.231 6.578
Pt 1.600 1.244 3.937
Pt 2.937 4.540 8.515
Ga -2.272 1.443 1.402
Dy -1.144 2.321 4.178
Dy 1.385 2.032 9.111
Dy 0.549 0.427 1.352
Dy 1.838 3.685 5.810

=====

# 7
18
Lattice="4.349 0.000 -0.858 -0.507 7.213 -2.569 -0.017 -0.036 11.361" Properties=species:S:1:pos:R:3 comment="PBE DyGaPt, optimized geometry" formation_energy_ev_per_fu=-3.289 magnetic_moment_mub_per_fu=0.00 spacegroup="Imm2, No. 44" pbc="T T T"
Dy -0.270 3.839 -1.367
Dy 2.780 1.487 2.636
Dy 1.002 6.313 5.075
Dy 1.688 6.926 -2.896
Dy 3.456 1.951 6.064
Dy 0.425 4.427 2.154
Ga 4.003 0.678 8.832
Ga 0.164 1.640 0.832
Ga 3.061 4.292 4.061
Ga 0.945 0.320 4.786
Ga 2.239 5.550 -0.102
Ga 1.419 4.007 7.188
Pt 3.552 5.283 6.551
Pt -0.063 6.664 -0.317
Pt 2.758 6.398 2.525
Pt 0.916 2.940 4.638
Pt 2.295 2.978 0.180
Pt 1.695 1.849 8.590

=====

# 8
20
Lattice="-0.295 -3.089 -3.020 5.105 -5.026 4.641 -6.913 -4.340 5.116" Properties=species:S:1:pos:R:3 comment="PBE DyGa6Pt3, optimized geometry" formation_energy_ev_per_fu=-6.764 magnetic_moment_mub_per_fu=0.00 spacegroup="P2_1/m, No. 11" pbc="T T T"
Dy -4.955 -5.876 1.839
Dy 2.852 -6.579 4.898
Ga -1.931 -6.775 2.463
Ga -0.172 -5.680 4.275
Ga 4.016 -6.830 1.937
Ga -6.119 -5.625 4.800
Ga 1.422 -4.994 0.313
Ga -3.525 -7.461 6.424
Ga 1.423 -6.903 2.265
Ga -3.526 -5.552 4.472
Ga -2.443 -4.590 0.277
Ga 0.340 -7.865 6.460
Ga -1.895 -9.211 4.952
Ga -0.207 -3.243 1.786
Pt -3.937 -7.998 3.910
Pt 1.834 -4.457 2.827
Pt 0.359 -8.454 3.956
Pt -2.461 -4.001 2.781
Pt -0.252 -3.595 -0.954
Pt -1.851 -8.860 7.692